Computed, not measured: DyTl2W3O12 after structural relaxation at the PBE+U level of DFT.

Computed properties:
Total magnetization: 0.05 μB per atom
Uncorrected energy: -125.6 eV/f.u.

```
18
Lattice="3.753 2.167 6.341 -3.753 2.167 6.341 0.000 -4.334 6.341" Properties=species:S:1:pos:R:3 pbc="T T T"
Dy 0.000 0.000 0.000
Tl 0.000 0.000 6.400
Tl 0.000 0.000 12.622
W -3.753 0.000 9.511
W -1.877 1.083 3.170
W 1.877 1.083 3.170
O -2.391 -1.381 9.306
O 0.000 -2.447 5.066
O -2.119 1.223 5.066
O 0.000 -2.761 9.715
O -2.391 1.381 9.715
O -2.119 -1.223 13.956
O 2.119 1.223 5.066
O 2.391 -1.381 9.306
O 0.000 2.761 9.306
O 2.119 -1.223 13.956
O 0.000 2.447 13.956
O 2.391 1.381 9.715
```